The following is a DFT calculation (PBE) of TbTh2Tl9 after structural relaxation.

Cell and atoms, written as POSCAR:
```
TbTh2Tl9
1.0
-2.908 -2.197 3.145
3.347 -3.381 0.734
5.596 7.853 10.661
Tb Th Tl
1 2 9
Cartesian
0.000 0.000 0.000
1.859 2.608 3.541
3.737 5.245 7.120
0.219 -2.789 1.939
2.079 -0.179 5.482
3.956 2.454 9.057
-0.542 0.182 3.310
1.344 2.828 6.903
3.230 5.474 10.495
2.586 -0.410 2.105
4.472 2.236 5.697
6.357 4.882 9.290
```

Results
ΔH_f (0 K)	-17.7	kJ per mole of atoms
D(E_F)	6.67	states/eV per cell
spin magnetization	0.00	μB per formula unit

***

The following is a DFT calculation (PBE) of TbTh2Tl3 after structural relaxation.

Cell and atoms, written as POSCAR:
```
TbTh2Tl3
1.0
3.571 0.000 0.000
0.000 3.571 0.000
0.000 0.000 13.473
Tb Th Tl
1 2 3
Cartesian
1.786 1.786 6.737
1.786 1.786 11.182
1.786 1.786 2.291
0.000 0.000 0.000
0.000 0.000 8.880
0.000 0.000 4.593
```

Results
ΔH_f (0 K)	-20.4	kJ per mole of atoms
D(E_F)	5.99	states/eV per cell
spin magnetization	0.00	μB per formula unit

***

The following is a DFT calculation (PBE) of Tb2ThTl4 after structural relaxation.

Cell and atoms, written as POSCAR:
```
Tb2ThTl4
1.0
5.940 0.000 0.000
0.000 5.940 0.000
-2.970 -2.970 7.868
Tb Th Tl
2 1 4
Cartesian
2.970 2.970 1.544
0.000 0.000 6.324
0.000 0.000 0.000
2.970 2.970 4.679
0.000 0.000 3.189
0.000 2.970 0.000
2.970 0.000 0.000
```

Results
relative energy among the computed polymorphs	488.5	meV/atom
ΔH_f (0 K)	33.8	kJ per mole of atoms
D(E_F)	9.18	states/eV per cell
spin magnetization	0.00	μB per formula unit

***

What is the ΔH_f (0 K) in the first record? -17.7 kJ per mole of atoms